1.
MgTi4S8 after structural relaxation. Source: Alexandria via LeMat-Bulk, functional PBE.

- space-group type = R-3m
- raw total energy (eV/atom) = -6.44
- formation energy (no corrections) (kJ per mole of atoms) = -131

Cell lengths 7.393, 7.393, 7.393 Å; angles 54.99, 54.99, 54.99 degrees
Fractional coordinates of all 13 atoms:
S (0.756, 0.254, 0.756)
S (0.254, 0.756, 0.756)
S (0.746, 0.244, 0.244)
S (0.258, 0.258, 0.258)
S (0.244, 0.746, 0.244)
S (0.756, 0.756, 0.254)
S (0.244, 0.244, 0.746)
S (0.742, 0.742, 0.742)
Mg (0.500, 0.500, 0.500)
Ti (0.500, 0.500, 0.000)
Ti (0.000, 0.500, 0.500)
Ti (0.000, 0.000, 0.000)
Ti (0.500, 0.000, 0.500)

---

2.
Y5BTe2 after structural relaxation. Source: Alexandria via LeMat-Bulk, functional PBE.

- space-group type = Pbam
- raw total energy (eV/atom) = -6.41
- formation energy (no corrections) (kJ per mole of atoms) = -73

Cell lengths 9.192, 7.916, 11.721 Å; angles 90.00, 90.00, 90.00 degrees
Fractional coordinates of all 32 atoms:
Y (0.905, 0.250, 0.206)
Y (0.096, 0.250, 0.794)
Y (0.404, 0.250, 0.294)
Y (0.326, 0.500, 0.550)
Y (0.000, 0.750, 0.500)
Y (0.174, 0.500, 0.050)
Y (0.174, 0.000, 0.050)
Y (0.500, 0.750, 0.000)
Y (0.000, 0.250, 0.500)
Y (0.095, 0.750, 0.794)
Y (0.826, 0.500, 0.950)
Y (0.326, 0.000, 0.550)
Y (0.674, 0.000, 0.450)
Y (0.595, 0.250, 0.706)
Y (0.500, 0.250, 0.000)
Y (0.674, 0.500, 0.450)
Y (0.904, 0.750, 0.206)
Y (0.826, 0.000, 0.950)
Y (0.596, 0.750, 0.706)
Y (0.405, 0.750, 0.294)
Te (0.862, 0.500, 0.682)
Te (0.362, 0.000, 0.818)
Te (0.638, 0.000, 0.182)
Te (0.362, 0.500, 0.818)
Te (0.862, 0.000, 0.682)
Te (0.138, 0.500, 0.318)
Te (0.138, 0.000, 0.318)
Te (0.638, 0.500, 0.182)
B (0.000, 0.250, 0.000)
B (0.000, 0.750, 0.000)
B (0.500, 0.750, 0.500)
B (0.500, 0.250, 0.500)

---

3.
InPSe2 after structural relaxation. Source: Alexandria via LeMat-Bulk, functional PBE.

- space-group type = I4/mmm
- raw total energy (eV/atom) = -3.76
- formation energy (no corrections) (kJ per mole of atoms) = 2

Cell lengths 4.864, 4.864, 4.862 Å; angles 69.55, 69.55, 107.51 degrees
Fractional coordinates of all 4 atoms:
P (0.000, 0.000, 0.500)
Se (0.000, 0.500, 0.000)
Se (0.500, 0.000, 0.000)
In (0.500, 0.500, 0.500)

---

4.
AsCl after structural relaxation. Source: Alexandria via LeMat-Bulk, functional PBE.

- space-group type = Pm-3m
- raw total energy (eV/atom) = -2.64
- formation energy (no corrections) (kJ per mole of atoms) = 58

Cell lengths 3.432, 3.432, 3.432 Å; angles 90.00, 90.00, 90.00 degrees
Fractional coordinates of all 2 atoms:
Cl (0.500, 0.500, 0.500)
As (0.000, 0.000, 0.000)

---

5.
Tb3Ga2Ge2 after structural relaxation. Source: Alexandria via LeMat-Bulk, functional PBE.

- space-group type = C2/m
- raw total energy (eV/atom) = -4.91
- formation energy from the elements (eV per atom) = -0.7426

Cell lengths 4.272, 5.786, 7.424 Å; angles 111.00, 90.00, 111.67 degrees
Fractional coordinates of all 7 atoms:
Ge (0.961, 0.922, 0.662)
Ge (0.039, 0.078, 0.338)
Tb (0.325, 0.650, 0.372)
Tb (0.675, 0.350, 0.628)
Tb (0.500, 0.000, 0.000)
Ga (0.808, 0.617, 0.072)
Ga (0.192, 0.383, 0.928)

---

6.
In2GeBi2 after structural relaxation. Source: Alexandria via LeMat-Bulk, functional PBE.

- space-group type = P4/mbm
- raw total energy (eV/atom) = -3.34
- formation energy from the elements (eV per atom) = 0.2356

Cell lengths 7.393, 7.393, 5.222 Å; angles 90.00, 90.00, 90.00 degrees
Fractional coordinates of all 10 atoms:
Bi (0.181, 0.681, 0.500)
Bi (0.681, 0.819, 0.500)
Bi (0.819, 0.319, 0.500)
Bi (0.319, 0.181, 0.500)
In (0.641, 0.141, 0.000)
In (0.141, 0.359, 0.000)
In (0.359, 0.859, 0.000)
In (0.859, 0.641, 0.000)
Ge (0.500, 0.500, 0.000)
Ge (0.000, 0.000, 0.000)

---

7.
Y12Co5Te after structural relaxation. Source: Alexandria via LeMat-Bulk, functional PBE.

- space-group type = Immm
- raw total energy (eV/atom) = -6.75
- formation energy (no corrections) (kJ per mole of atoms) = -29

Cell lengths 8.345, 8.345, 8.345 Å; angles 107.11, 110.84, 110.48 degrees
Fractional coordinates of all 18 atoms:
Y (0.105, 0.817, 0.288)
Y (0.309, 0.689, 0.998)
Y (0.691, 0.689, 0.380)
Y (0.691, 0.311, 0.002)
Y (0.195, 0.989, 0.794)
Y (0.895, 0.183, 0.712)
Y (0.470, 0.183, 0.288)
Y (0.805, 0.011, 0.206)
Y (0.309, 0.311, 0.620)
Y (0.530, 0.817, 0.712)
Y (0.805, 0.599, 0.794)
Y (0.195, 0.401, 0.206)
Co (0.379, 0.379, 0.000)
Co (0.500, 0.890, 0.390)
Co (0.500, 0.110, 0.610)
Co (0.000, 0.000, 0.000)
Co (0.621, 0.621, 0.000)
Te (0.000, 0.500, 0.500)

---

8.
La2AsIr2 after structural relaxation. Source: Alexandria via LeMat-Bulk, functional PBE.

- space-group type = P4/mbm
- raw total energy (eV/atom) = -7.11
- formation energy from the elements (eV per atom) = -0.6646

Cell lengths 7.425, 7.425, 4.133 Å; angles 90.00, 90.00, 90.00 degrees
Fractional coordinates of all 10 atoms:
La (0.185, 0.685, 0.500)
La (0.685, 0.815, 0.500)
La (0.815, 0.315, 0.500)
La (0.315, 0.185, 0.500)
Ir (0.876, 0.624, 0.000)
Ir (0.624, 0.124, 0.000)
Ir (0.376, 0.876, 0.000)
Ir (0.124, 0.376, 0.000)
As (0.500, 0.500, 0.000)
As (0.000, 0.000, 0.000)

---

9.
LaPmPrSm after structural relaxation. Source: Alexandria via LeMat-Bulk, functional PBE.

- space-group type = I-4m2
- raw total energy (eV/atom) = -4.77
- formation energy from the elements (eV per atom) = 0.0212

Cell lengths 5.210, 5.219, 6.400 Å; angles 114.06, 114.02, 90.00 degrees
Fractional coordinates of all 4 atoms:
Pm (0.946, 0.946, 0.891)
Pr (0.196, 0.696, 0.391)
La (0.446, 0.446, 0.891)
Sm (0.695, 0.195, 0.391)

---

10.
Gd3Zn5O12 after structural relaxation. Source: Alexandria via LeMat-Bulk, functional PBE.

- space-group type = Ia-3d
- raw total energy (eV/atom) = -7.22
- formation energy (no corrections) (kJ per mole of atoms) = -175

Cell lengths 10.939, 10.939, 10.939 Å; angles 109.47, 109.47, 109.47 degrees
Fractional coordinates of all 80 atoms:
Zn (0.000, 0.500, 0.500)
Zn (0.500, 0.500, 0.500)
Zn (0.125, 0.375, 0.250)
Zn (0.750, 0.625, 0.375)
Zn (0.250, 0.875, 0.125)
Zn (0.500, 0.000, 0.500)
Zn (0.000, 0.500, 0.000)
Zn (0.375, 0.250, 0.125)
Zn (0.875, 0.625, 0.750)
Zn (0.250, 0.375, 0.625)
Zn (0.875, 0.250, 0.625)
Zn (0.500, 0.000, 0.000)
Zn (0.625, 0.750, 0.875)
Zn (0.750, 0.125, 0.875)
Zn (0.000, 0.000, 0.000)
Zn (0.625, 0.875, 0.250)
Zn (0.125, 0.750, 0.375)
Zn (0.000, 0.000, 0.500)
Zn (0.375, 0.125, 0.750)
Zn (0.500, 0.500, 0.000)
Gd (0.625, 0.250, 0.375)
Gd (0.625, 0.375, 0.750)
Gd (0.875, 0.125, 0.250)
Gd (0.125, 0.875, 0.750)
Gd (0.375, 0.750, 0.625)
Gd (0.250, 0.625, 0.875)
Gd (0.250, 0.125, 0.375)
Gd (0.875, 0.750, 0.125)
Gd (0.125, 0.250, 0.875)
Gd (0.375, 0.625, 0.250)
Gd (0.750, 0.375, 0.125)
Gd (0.750, 0.875, 0.625)
O (0.409, 0.036, 0.325)
O (0.916, 0.825, 0.789)
O (0.591, 0.627, 0.416)
O (0.584, 0.711, 0.675)
O (0.325, 0.536, 0.409)
O (0.873, 0.289, 0.464)
O (0.211, 0.536, 0.627)
O (0.289, 0.416, 0.825)
O (0.416, 0.289, 0.325)
O (0.825, 0.916, 0.289)
O (0.091, 0.916, 0.127)
O (0.036, 0.409, 0.825)
O (0.627, 0.036, 0.211)
O (0.675, 0.211, 0.584)
O (0.789, 0.325, 0.916)
O (0.711, 0.584, 0.175)
O (0.373, 0.964, 0.789)
O (0.416, 0.127, 0.591)
O (0.091, 0.175, 0.464)
O (0.627, 0.591, 0.916)
O (0.536, 0.325, 0.909)
O (0.464, 0.789, 0.873)
O (0.084, 0.175, 0.211)
O (0.464, 0.675, 0.091)
O (0.916, 0.091, 0.627)
O (0.289, 0.873, 0.964)
O (0.591, 0.964, 0.675)
O (0.175, 0.091, 0.964)
O (0.789, 0.464, 0.373)
O (0.175, 0.084, 0.711)
O (0.909, 0.825, 0.536)
O (0.825, 0.909, 0.036)
O (0.675, 0.464, 0.591)
O (0.584, 0.873, 0.409)
O (0.711, 0.127, 0.036)
O (0.325, 0.789, 0.416)
O (0.964, 0.591, 0.175)
O (0.536, 0.211, 0.127)
O (0.409, 0.373, 0.584)
O (0.127, 0.711, 0.536)
O (0.036, 0.627, 0.711)
O (0.211, 0.675, 0.084)
O (0.909, 0.084, 0.873)
O (0.873, 0.584, 0.909)
O (0.084, 0.909, 0.373)
O (0.964, 0.373, 0.289)
O (0.373, 0.409, 0.084)
O (0.127, 0.416, 0.091)

---

11.
Na2PuAgBr6 after structural relaxation. Source: Alexandria via LeMat-Bulk, functional PBE.

- space-group type = P2_1/c
- raw total energy (eV/atom) = -4.26
- formation energy (no corrections) (kJ per mole of atoms) = -122

Cell lengths 7.211, 7.694, 11.095 Å; angles 90.00, 87.58, 90.00 degrees
Fractional coordinates of all 20 atoms:
Na (0.460, 0.594, 0.739)
Na (0.040, 0.094, 0.761)
Na (0.960, 0.906, 0.239)
Na (0.540, 0.406, 0.261)
Br (0.182, 0.813, 0.580)
Br (0.353, 0.056, 0.243)
Br (0.180, 0.812, 0.926)
Br (0.318, 0.313, 0.920)
Br (0.320, 0.312, 0.574)
Br (0.820, 0.188, 0.074)
Br (0.682, 0.687, 0.080)
Br (0.853, 0.444, 0.743)
Br (0.680, 0.688, 0.426)
Br (0.647, 0.944, 0.757)
Br (0.818, 0.187, 0.420)
Br (0.147, 0.556, 0.257)
Pu (0.500, 0.000, 0.000)
Pu (0.000, 0.500, 0.500)
Ag (0.500, 0.000, 0.500)
Ag (0.000, 0.500, 0.000)

---

12.
LiYRe2Rh after structural relaxation. Source: Alexandria via LeMat-Bulk, functional PBE.

- space-group type = P4/mmm
- raw total energy (eV/atom) = -6.88
- formation energy from the elements (eV per atom) = 1.2441

Cell lengths 4.745, 5.200, 4.745 Å; angles 90.00, 90.00, 90.00 degrees
Fractional coordinates of all 5 atoms:
Li (0.500, 0.500, 0.500)
Re (0.500, 0.000, 0.000)
Re (0.000, 0.000, 0.500)
Y (0.000, 0.500, 0.000)
Rh (0.000, 0.000, 0.000)